(1)
Material: Nd12HoAl4O3
Method: DFT, GGA-PBE
State: relaxed

Results
calculated total energy: -5.25 eV/atom
size of the total moment: 0.000 Bohr magnetons per cell
space-group type: Im-3m

Unit cell a=8.8643 b=8.8643 c=8.8643 alpha=109.47 beta=109.47 gamma=109.47
Closest atoms and distances in Å follow each position.
Atoms (fractional coordinates):
Nd1 0.0000 0.2740 0.2740  1 O 2.31
Nd2 0.0000 0.7260 0.7260  1 O 2.31
Nd3 0.2500 0.5000 0.7500  2 O 2.56
Nd4 0.2500 0.7500 0.5000  2 O 2.56
Nd5 0.2740 0.0000 0.2740  1 O 2.31
Nd6 0.2740 0.2740 0.0000  1 O 2.31
Nd7 0.5000 0.2500 0.7500  2 O 2.56
Nd8 0.5000 0.7500 0.2500  2 O 2.56
Nd9 0.7260 0.0000 0.7260  1 O 2.31
Nd10 0.7260 0.7260 0.0000  1 O 2.31
Nd11 0.7500 0.2500 0.5000  2 O 2.56
Nd12 0.7500 0.5000 0.2500  2 O 2.56
Ho1 0.0000 0.0000 0.0000  6 Nd 2.80
Al1 0.0000 0.0000 0.5000  12 Nd 3.62-3.63
Al2 0.0000 0.5000 0.0000  12 Nd 3.62-3.63
Al3 0.5000 0.0000 0.0000  12 Nd 3.62-3.63
Al4 0.5000 0.5000 0.5000  12 Nd 3.62-3.63
O1 0.0000 0.5000 0.5000  6 Nd 2.31-2.56
O2 0.5000 0.0000 0.5000  6 Nd 2.31-2.56
O3 0.5000 0.5000 0.0000  6 Nd 2.31-2.56

(2)
Material: PaAl6Ge
Method: DFT, GGA-PBE
State: relaxed

Results
calculated total energy: -4.61 eV/atom
size of the total moment: 0.000 Bohr magnetons per cell
formation enthalpy at 0 K: -0.041 eV/atom
space-group type: Cmmm

Unit cell a=5.9451 b=5.9451 c=4.7632 alpha=90.00 beta=90.00 gamma=116.50
Closest atoms and distances in Å follow each position.
Atoms (fractional coordinates):
Pa1 0.0000 0.0000 0.0000  12 Al 2.97-3.21, 2 Ge 3.13
Al1 0.0000 0.5000 0.0000  6 Al 2.87-3.13, 2 Ge 2.97, 2 Pa 2.97
Al2 0.2135 0.7865 0.5000  8 Al 2.84-3.17
Al3 0.2953 0.2953 0.5000  3 Al 2.56-2.84, 2 Ge 2.70
Al4 0.5000 0.0000 0.0000  6 Al 2.87-3.13, 2 Ge 2.97, 2 Pa 2.97
Al5 0.7047 0.7047 0.5000  3 Al 2.56-2.84, 2 Ge 2.70
Al6 0.7865 0.2135 0.5000  8 Al 2.84-3.17
Ge1 0.5000 0.5000 0.0000  8 Al 2.70-2.97

(3)
Material: PuTaN3
Method: DFT, GGA-PBE
State: relaxed

Results
calculated total energy: -11.04 eV/atom
size of the total moment: 8.100 Bohr magnetons per cell
space-group type: Cmmm

Unit cell a=6.6990 b=6.6990 c=3.9243 alpha=90.00 beta=90.00 gamma=131.52
Closest atoms and distances in Å follow each position.
Atoms (fractional coordinates):
Pu1 0.1589 0.8411 0.0000  1 N 2.26
Pu2 0.8411 0.1589 0.0000  1 N 2.26
Ta1 0.3813 0.6187 0.5000  6 N 2.02-2.11
Ta2 0.6187 0.3813 0.5000  6 N 2.02-2.11
N1 0.0000 0.5000 0.5000  2 Ta 2.11
N2 0.2392 0.2392 0.5000  2 Ta 2.04
N3 0.3438 0.6562 0.0000  2 Ta 2.02
N4 0.5000 0.0000 0.5000  2 Ta 2.11
N5 0.6562 0.3438 0.0000  2 Ta 2.02
N6 0.7608 0.7608 0.5000  2 Ta 2.04

(4)
Material: Ba3Sb2Au2
Method: DFT, GGA-PBE
State: relaxed

Results
calculated total energy: -3.79 eV/atom
size of the total moment: 0.000 Bohr magnetons per cell
space-group type: C2/m

Unit cell a=6.6332 b=6.6332 c=8.6096 alpha=108.58 beta=108.58 gamma=44.27
Closest atoms and distances in Å follow each position.
Atoms (fractional coordinates):
Ba1 0.0000 0.0000 0.0000  6 Au 3.60-3.64, 4 Sb 3.76
Ba2 0.1733 0.1733 0.6530  3 Au 3.33-3.46, 5 Sb 3.57-3.64
Ba3 0.8267 0.8267 0.3470  3 Au 3.33-3.46, 5 Sb 3.57-3.64
Sb1 0.4658 0.4658 0.6605  1 Au 2.98, 1 Sb 3.15
Sb2 0.5342 0.5342 0.3395  1 Au 2.98, 1 Sb 3.15
Au1 0.3082 0.3082 0.0617  2 Au 2.89, 1 Sb 2.98
Au2 0.6918 0.6918 0.9383  2 Au 2.89, 1 Sb 2.98

(5)
Material: LaPr2Sm3
Method: DFT, GGA-PBE
State: relaxed

Results
calculated total energy: -4.60 eV/atom
size of the total moment: 0.000 Bohr magnetons per cell
formation enthalpy at 0 K: 0.173 eV/atom
space-group type: Cmcm

Unit cell a=7.8200 b=7.8200 c=6.8517 alpha=90.00 beta=90.00 gamma=89.69
Closest atoms and distances in Å follow each position.
Atoms (fractional coordinates):
La1 0.1019 0.8981 0.7500  5 Sm 3.37-3.46
La2 0.8981 0.1019 0.2500  5 Sm 3.37-3.46
Pr1 0.1003 0.5978 0.2500  1 Pr 3.35, 4 Sm 3.41-3.44
Pr2 0.4022 0.8997 0.2500  1 Pr 3.35, 4 Sm 3.41-3.44
Pr3 0.5978 0.1003 0.7500  1 Pr 3.35, 4 Sm 3.41-3.44
Pr4 0.8997 0.4022 0.7500  1 Pr 3.35, 4 Sm 3.41-3.44
Sm1 0.2517 0.2517 0.0000  4 Sm 3.40-3.43, 4 Pr 3.41-3.44, 2 La 3.46
Sm2 0.2517 0.2517 0.5000  4 Sm 3.40-3.43, 4 Pr 3.41-3.44, 2 La 3.46
Sm3 0.4073 0.5927 0.7500  1 La 3.37, 4 Sm 3.40
Sm4 0.5927 0.4073 0.2500  1 La 3.37, 4 Sm 3.40
Sm5 0.7483 0.7483 0.0000  4 Sm 3.40-3.43, 4 Pr 3.41-3.44, 2 La 3.46
Sm6 0.7483 0.7483 0.5000  4 Sm 3.40-3.43, 4 Pr 3.41-3.44, 2 La 3.46

(6)
Material: CaCdAs2Br
Method: DFT, GGA-PBE
State: relaxed

Results
calculated total energy: -2.57 eV/atom
size of the total moment: 1.547 Bohr magnetons per cell
offset from the most stable computed form: 1.34 eV per formula unit
space-group type: P4/mmm

Unit cell a=5.6361 b=5.6361 c=5.4371 alpha=90.00 beta=90.00 gamma=90.00
Closest atoms and distances in Å follow each position.
Atoms (fractional coordinates):
Ca1 0.0000 0.0000 0.0000  2 Br 2.72, 4 As 2.82
Cd1 0.5000 0.5000 0.5000  8 As 3.92, 4 Br 3.99
As1 0.0000 0.5000 0.0000  2 Ca 2.82
As2 0.5000 0.0000 0.0000  2 Ca 2.82
Br1 0.0000 0.0000 0.5000  2 Ca 2.72

(7)
Material: ScMoCl3
Method: DFT, GGA-PBE
State: relaxed

Results
calculated total energy: -4.97 eV/atom
size of the total moment: 5.935 Bohr magnetons per cell
offset from the most stable computed form: 0.00 eV per formula unit
space-group type: Pm-3m

Unit cell a=5.0510 b=5.0510 c=5.0510 alpha=90.00 beta=90.00 gamma=90.00
Closest atoms and distances in Å follow each position.
Atoms (fractional coordinates):
Sc1 0.0000 0.0000 0.0000  6 Cl 2.53
Mo1 0.5000 0.5000 0.5000  12 Cl 3.57
Cl1 0.0000 0.0000 0.5000  2 Sc 2.53
Cl2 0.0000 0.5000 0.0000  2 Sc 2.53
Cl3 0.5000 0.0000 0.0000  2 Sc 2.53

(8)
Material: ScAs2Os
Method: DFT, GGA-PBE
State: relaxed

Results
calculated total energy: -6.85 eV/atom
size of the total moment: 0.000 Bohr magnetons per cell
formation enthalpy at 0 K: -0.135 eV/atom
offset from the most stable computed form: 1.12 eV per formula unit
space-group type: I-4m2

Unit cell a=5.0952 b=5.0952 c=5.0952 alpha=134.24 beta=134.24 gamma=66.72
Closest atoms and distances in Å follow each position.
Atoms (fractional coordinates):
Sc1 0.0000 0.0000 0.0000  8 As 2.80-2.91, 4 Os 2.91
As1 0.2500 0.7500 0.5000  4 Os 2.80, 4 As 2.91, 4 Sc 2.91
As2 0.5000 0.5000 0.0000  4 Sc 2.80, 4 As 2.91, 4 Os 2.91
Os1 0.7500 0.2500 0.5000  8 As 2.80-2.91, 4 Sc 2.91